1.
Material: Na2LiP2
Method: DFT, meta-GGA SCAN
State: single point on PBEsol structure

Properties
Total magnetization (μB/f.u.): 0.0
Symmetry: P4/mbm
E above lowest polymorph (meV/atom): 343.2

Unit cell a=2.695 b=8.354 c=8.354 alpha=90.00 beta=90.00 gamma=90.00
Sites, in units of the cell vectors:
Li: 0.000 0.000 0.000
P: 0.500 0.821 0.321
Na: 0.000 0.620 0.120
Li: 0.000 0.500 0.500
P: 0.500 0.179 0.679
Na: 0.000 0.120 0.380
P: 0.500 0.321 0.179
Na: 0.000 0.880 0.620
Na: 0.000 0.380 0.880
P: 0.500 0.679 0.821


2.
Material: MnNbSeBr2
Method: DFT, meta-GGA SCAN
State: single point on PBEsol structure

Properties
Total magnetization (μB/f.u.): 5.9
Symmetry: P4/mmm
E above lowest polymorph (meV/atom): 0.0
Formation energy (no corrections) (eV per atom): -0.13

Unit cell a=4.980 b=5.157 c=5.157 alpha=90.00 beta=90.00 gamma=90.00
Sites, in units of the cell vectors:
Mn: 0.500 0.500 0.500
Nb: 0.000 0.000 0.000
Se: 0.500 0.000 0.000
Br: 0.000 0.000 0.500
Br: 0.000 0.500 0.000


3.
Material: CdAg2Te
Method: DFT, meta-GGA SCAN
State: single point on PBEsol structure

Properties
Total magnetization (μB/f.u.): 0.0
Symmetry: R-3m
E above lowest polymorph (meV/atom): 134.8
Formation energy (no corrections) (eV per atom): 0.14

Unit cell a=3.191 b=3.191 c=9.458 alpha=80.29 beta=80.29 gamma=60.00
Sites, in units of the cell vectors:
Ag: 0.755 0.755 0.736
Ag: 0.245 0.245 0.264
Te: 0.000 0.000 0.000
Cd: 0.500 0.500 0.500


4.
Material: Cd2CuCl
Method: DFT, meta-GGA SCAN
State: single point on PBEsol structure

Properties
Total magnetization (μB/f.u.): 0.0
Symmetry: Immm
E above lowest polymorph (meV/atom): 0.0
Formation energy (no corrections) (eV per atom): -0.05

Unit cell a=3.186 b=5.476 c=5.476 alpha=62.79 beta=73.09 gamma=73.09
Sites, in units of the cell vectors:
Cl: 0.000 0.500 0.500
Cd: 0.237 0.763 0.763
Cu: 0.500 0.000 0.000
Cd: 0.763 0.237 0.237


5.
Material: CaPtAu2
Method: DFT, meta-GGA SCAN
State: single point on PBEsol structure

Properties
Total magnetization (μB/f.u.): 0.0
Symmetry: P4/mmm
E above lowest polymorph (meV/atom): 0.0

Unit cell a=4.112 b=4.142 c=4.142 alpha=90.00 beta=90.00 gamma=90.00
Sites, in units of the cell vectors:
Au: 0.000 0.000 0.500
Pt: 0.500 0.000 0.000
Au: 0.000 0.500 0.000
Ca: 0.500 0.500 0.500


6.
Material: SiCNF2
Method: DFT, meta-GGA SCAN
State: single point on PBEsol structure

Properties
Total magnetization (μB/f.u.): 1.0
Symmetry: P4/mmm
Formation energy (no corrections) (eV per atom): 0.04

Unit cell a=3.576 b=3.538 c=3.538 alpha=90.00 beta=90.00 gamma=90.00
Sites, in units of the cell vectors:
Si: 0.000 0.000 0.000
N: 0.500 0.000 0.000
F: 0.000 0.000 0.500
C: 0.500 0.500 0.500
F: 0.000 0.500 0.000


7.
Material: ZrFe3Rh
Method: DFT, meta-GGA SCAN
State: single point on PBEsol structure

Properties
Total magnetization (μB/f.u.): 7.0
Symmetry: Pm-3m
DFT total energy (eV per atom): -22.037

Unit cell a=4.356 b=4.356 c=4.356 alpha=90.00 beta=90.00 gamma=90.00
Sites, in units of the cell vectors:
Fe: 0.000 0.500 0.000
Zr: 0.000 0.000 0.000
Rh: 0.500 0.500 0.500
Fe: 0.000 0.000 0.500
Fe: 0.500 0.000 0.000


8.
Material: CaNdCd2
Method: DFT, meta-GGA SCAN
State: single point on PBEsol structure

Properties
Total magnetization (μB/f.u.): 0.0
Symmetry: Fm-3m
DFT total energy (eV per atom): -28.990

Unit cell a=5.325 b=5.325 c=5.325 alpha=60.00 beta=60.00 gamma=60.00
Sites, in units of the cell vectors:
Ca: 0.500 0.500 0.500
Nd: 0.000 0.000 0.000
Cd: 0.250 0.250 0.250
Cd: 0.750 0.750 0.750


9.
Material: BaAl2Pt
Method: DFT, meta-GGA SCAN
State: single point on PBEsol structure

Properties
Total magnetization (μB/f.u.): 0.5
Symmetry: R3m
DFT total energy (eV per atom): -32.179

Unit cell a=4.377 b=4.377 c=6.514 alpha=70.37 beta=70.37 gamma=60.00
Sites, in units of the cell vectors:
Al: 0.315 0.315 0.056
Pt: 0.686 0.686 0.941
Ba: 0.506 0.506 0.483
Al: 0.031 0.031 0.906


10.
Material: ReTeI2
Method: DFT, meta-GGA SCAN
State: single point on PBEsol structure

Properties
Total magnetization (μB/f.u.): 0.0
Symmetry: I-42d
Formation energy (no corrections) (eV per atom): 0.60

Unit cell a=7.325 b=7.325 c=7.325 alpha=139.05 beta=97.03 gamma=97.03
Sites, in units of the cell vectors:
Re: 0.500 0.750 0.250
I: 0.866 0.991 0.625
Te: 0.500 0.250 0.750
I: 0.366 0.375 0.241
Re: 0.000 0.000 0.000
Te: 0.000 0.500 0.500
I: 0.134 0.759 0.125
I: 0.634 0.875 0.009


11.
Material: AgPRu2
Method: DFT, meta-GGA SCAN
State: single point on PBEsol structure

Properties
Total magnetization (μB/f.u.): 0.0
Symmetry: R-3m
E above lowest polymorph (meV/atom): 0.0

Unit cell a=2.802 b=2.802 c=8.302 alpha=80.28 beta=80.28 gamma=60.00
Sites, in units of the cell vectors:
Ru: 0.264 0.264 0.208
Ag: 0.500 0.500 0.500
Ru: 0.736 0.736 0.792
P: 0.000 0.000 0.000


12.
Material: LaTaSnH2
Method: DFT, meta-GGA SCAN
State: single point on PBEsol structure

Properties
Total magnetization (μB/f.u.): 1.1
Symmetry: P4/mmm
DFT total energy (eV per atom): -30.307

Unit cell a=4.224 b=4.224 c=5.270 alpha=90.00 beta=90.00 gamma=90.00
Sites, in units of the cell vectors:
Sn: 0.000 0.000 0.500
H: 0.500 0.000 0.000
La: 0.500 0.500 0.500
H: 0.000 0.500 0.000
Ta: 0.000 0.000 0.000


13.
Material: RbRh2I
Method: DFT, meta-GGA SCAN
State: single point on PBEsol structure

Properties
Total magnetization (μB/f.u.): 2.0
Symmetry: Fm-3m
Formation energy (no corrections) (eV per atom): 0.88

Unit cell a=4.835 b=4.835 c=4.835 alpha=60.00 beta=60.00 gamma=60.00
Sites, in units of the cell vectors:
Rh: 0.250 0.250 0.250
Rb: 0.000 0.000 0.000
I: 0.500 0.500 0.500
Rh: 0.750 0.750 0.750


14.
Material: TiNbS2
Method: DFT, meta-GGA SCAN
State: single point on PBEsol structure

Properties
Total magnetization (μB/f.u.): 2.2
Symmetry: I-42d
E above lowest polymorph (meV/atom): 22.6
Formation energy (no corrections) (eV per atom): -0.75

Unit cell a=5.506 b=5.506 c=6.530 alpha=114.94 beta=114.94 gamma=90.00
Sites, in units of the cell vectors:
S: 0.385 0.875 0.250
Nb: 0.000 0.000 0.000
Ti: 0.750 0.250 0.500
Nb: 0.250 0.750 0.500
S: 0.125 0.135 0.750
Ti: 0.500 0.500 0.000
S: 0.625 0.615 0.750
S: 0.865 0.375 0.250


15.
Material: RbSi2Hg
Method: DFT, meta-GGA SCAN
State: single point on PBEsol structure

Properties
Total magnetization (μB/f.u.): 0.0
Symmetry: I4_1/amd
Formation energy (no corrections) (eV per atom): 0.31

Unit cell a=4.977 b=4.977 c=9.979 alpha=104.44 beta=104.44 gamma=90.00
Sites, in units of the cell vectors:
Si: 0.625 0.875 0.750
Hg: 0.000 0.000 0.000
Si: 0.125 0.875 0.250
Hg: 0.250 0.750 0.500
Rb: 0.750 0.250 0.500
Si: 0.125 0.875 0.750
Rb: 0.500 0.500 0.000
Si: 0.125 0.375 0.250


16.
Material: Zr2Si
Method: DFT, meta-GGA SCAN
State: single point on PBEsol structure

Properties
Total magnetization (μB/f.u.): 0.0
Symmetry: I4/mcm
Formation energy (no corrections) (eV per atom): -0.81

Unit cell a=5.254 b=5.325 c=5.325 alpha=75.91 beta=60.44 gamma=60.44
Sites, in units of the cell vectors:
Zr: 0.343 0.500 0.815
Zr: 0.157 0.185 0.500
Si: 0.250 0.000 0.000
Zr: 0.843 0.815 0.500
Si: 0.750 0.000 0.000
Zr: 0.657 0.500 0.185


17.
Material: Cu2SbW
Method: DFT, meta-GGA SCAN
State: single point on PBEsol structure

Properties
Total magnetization (μB/f.u.): 0.0
Symmetry: R-3m
Formation energy (no corrections) (eV per atom): 0.61

Unit cell a=2.896 b=2.896 c=8.914 alpha=80.65 beta=80.65 gamma=60.00
Sites, in units of the cell vectors:
Cu: 0.746 0.746 0.762
Cu: 0.254 0.254 0.238
W: 0.000 0.000 0.000
Sb: 0.500 0.500 0.500


18.
Material: In5Ag
Method: DFT, meta-GGA SCAN
State: single point on PBEsol structure

Properties
Total magnetization (μB/f.u.): 0.0
Symmetry: P4/mmm
E above lowest polymorph (meV/atom): 0.0

Unit cell a=3.248 b=3.248 c=13.304 alpha=90.00 beta=90.00 gamma=90.00
Sites, in units of the cell vectors:
In: 0.500 0.500 0.679
In: 0.000 0.000 0.858
In: 0.000 0.000 0.500
In: 0.500 0.500 0.321
Ag: 0.500 0.500 0.000
In: 0.000 0.000 0.142


19.
Material: LaCu2ReOs
Method: DFT, meta-GGA SCAN
State: single point on PBEsol structure

Properties
Total magnetization (μB/f.u.): 3.0
Symmetry: P4/mmm
DFT total energy (eV per atom): -41.511

Unit cell a=4.607 b=4.607 c=5.119 alpha=90.00 beta=90.00 gamma=90.00
Sites, in units of the cell vectors:
Os: 0.500 0.500 0.500
La: 0.000 0.000 0.500
Cu: 0.000 0.500 0.000
Re: 0.000 0.000 0.000
Cu: 0.500 0.000 0.000


20.
Material: Zr3Be
Method: DFT, meta-GGA SCAN
State: single point on PBEsol structure

Properties
Total magnetization (μB/f.u.): 0.0
Symmetry: Pnma
E above lowest polymorph (meV/atom): 36.9

Unit cell a=5.430 b=6.980 c=8.003 alpha=90.00 beta=90.00 gamma=90.00
Sites, in units of the cell vectors:
Zr: 0.859 0.682 0.954
Zr: 0.621 0.472 0.250
Zr: 0.359 0.818 0.046
Be: 0.575 0.883 0.750
Zr: 0.141 0.318 0.046
Zr: 0.641 0.182 0.546
Zr: 0.121 0.028 0.750
Be: 0.075 0.617 0.250
Zr: 0.859 0.682 0.546
Zr: 0.141 0.318 0.454
Zr: 0.879 0.972 0.250
Zr: 0.359 0.818 0.454
Zr: 0.641 0.182 0.954
Be: 0.925 0.383 0.750
Zr: 0.379 0.528 0.750
Be: 0.425 0.117 0.250


21.
Material: MnAlSe2N
Method: DFT, meta-GGA SCAN
State: single point on PBEsol structure

Properties
Total magnetization (μB/f.u.): 6.4
Symmetry: P4/mmm
E above lowest polymorph (meV/atom): 0.0
Formation energy (no corrections) (eV per atom): 0.00

Unit cell a=3.545 b=4.999 c=4.999 alpha=90.00 beta=90.00 gamma=90.00
Sites, in units of the cell vectors:
Al: 0.000 0.000 0.000
N: 0.500 0.000 0.000
Se: 0.000 0.000 0.500
Se: 0.000 0.500 0.000
Mn: 0.500 0.500 0.500


22.
Material: CaZr2FeN
Method: DFT, meta-GGA SCAN
State: single point on PBEsol structure

Properties
Total magnetization (μB/f.u.): 0.0
Symmetry: P4/mmm
Formation energy (no corrections) (eV per atom): 1.08

Unit cell a=4.490 b=4.490 c=5.369 alpha=90.00 beta=90.00 gamma=90.00
Sites, in units of the cell vectors:
N: 0.500 0.500 0.500
Fe: 0.000 0.000 0.000
Zr: 0.500 0.000 0.000
Zr: 0.000 0.500 0.000
Ca: 0.000 0.000 0.500


23.
Material: Co2MoAs
Method: DFT, meta-GGA SCAN
State: single point on PBEsol structure

Properties
Total magnetization (μB/f.u.): 0.0
Symmetry: I4/mmm
DFT total energy (eV per atom): -22.187

Unit cell a=3.634 b=3.634 c=4.504 alpha=113.79 beta=113.79 gamma=90.00
Sites, in units of the cell vectors:
Mo: 0.500 0.500 0.000
As: 0.000 0.000 0.000
Co: 0.250 0.750 0.500
Co: 0.750 0.250 0.500


24.
Material: Sc2IrPt
Method: DFT, meta-GGA SCAN
State: single point on PBEsol structure

Properties
Total magnetization (μB/f.u.): 0.0
Symmetry: Pmmm
DFT total energy (eV per atom): -43.786

Unit cell a=3.166 b=3.295 c=6.426 alpha=90.00 beta=90.00 gamma=90.00
Sites, in units of the cell vectors:
Sc: 0.000 0.000 0.754
Sc: 0.000 0.000 0.246
Ir: 0.500 0.500 0.000
Pt: 0.500 0.500 0.500


25.
Material: Ta2FeSb
Method: DFT, meta-GGA SCAN
State: single point on PBEsol structure

Properties
Total magnetization (μB/f.u.): 2.2
Symmetry: Imm2
Formation energy (no corrections) (eV per atom): 0.05

Unit cell a=3.383 b=4.526 c=5.158 alpha=116.02 beta=109.14 gamma=90.00
Sites, in units of the cell vectors:
Fe: 0.498 0.498 0.995
Ta: 0.770 0.270 0.541
Ta: 0.002 0.002 0.005
Sb: 0.230 0.730 0.460


26.
Material: La2SiPb
Method: DFT, meta-GGA SCAN
State: single point on PBEsol structure

Properties
Total magnetization (μB/f.u.): 0.0
Symmetry: Pmmm
Formation energy (no corrections) (eV per atom): -0.55

Unit cell a=4.411 b=4.551 c=6.322 alpha=90.00 beta=90.00 gamma=90.00
Sites, in units of the cell vectors:
Si: 0.500 0.500 0.500
La: 0.000 0.000 0.500
Pb: 0.000 0.000 0.000
La: 0.500 0.500 0.000


27.
Material: ZrHgAs2
Method: DFT, meta-GGA SCAN
State: single point on PBEsol structure

Properties
Total magnetization (μB/f.u.): 0.0
Symmetry: Cm
DFT total energy (eV per atom): -35.287

Unit cell a=3.691 b=4.013 c=5.758 alpha=93.19 beta=108.70 gamma=90.00
Sites, in units of the cell vectors:
Zr: 0.285 0.859 0.570
As: 0.991 0.892 0.983
As: 0.731 0.351 0.463
Hg: 0.492 0.397 0.984


28.
Material: FeCuP2
Method: DFT, meta-GGA SCAN
State: single point on PBEsol structure

Properties
Total magnetization (μB/f.u.): 0.0
Symmetry: Imm2
DFT total energy (eV per atom): -13.517

Unit cell a=2.569 b=3.437 c=5.954 alpha=106.77 beta=102.46 gamma=90.00
Sites, in units of the cell vectors:
Cu: 0.560 0.560 0.119
P: 0.717 0.217 0.433
Fe: 0.279 0.779 0.558
P: 0.945 0.945 0.890